The following is a DFT calculation (PBEsol) of a relaxed structure of Y2ZrAl.

Properties
Its formation energy is -5 meV/atom. The uncorrected energy is -0.49329 Ry per atom. Its crystal system is cubic.

abc: 5.1061 5.1061 5.1061
angles: 60.00 60.00 60.00
Closest atoms and distances in Å follow each position.
Sites, in units of the cell vectors:
Y1 0.0000 0.0000 0.0000  4 Zr 3.13, 4 Y 3.13
Al1 0.5000 0.5000 0.5000  4 Zr 3.13, 4 Y 3.13
Y2 0.2500 0.2500 0.2500  4 Al 3.13, 4 Y 3.13
Zr1 0.7500 0.7500 0.7500  4 Y 3.13, 4 Al 3.13

***

The following is a DFT calculation (PBEsol) of a relaxed structure of BeCo2Tc.

Properties
Its formation energy is -51 meV/atom. The uncorrected energy is -0.56859 Ry per atom. The value obtained for the distance to the lowest polymorph of the same formula is 156 meV per atom. Its crystal system is orthorhombic.

abc: 2.5355 3.4393 4.8263
angles: 90.00 90.00 90.00
Closest atoms and distances in Å follow each position.
Sites, in units of the cell vectors:
Co1 0.0000 0.0000 0.2644  3 Co 2.27-2.54, 4 Be 2.42, 4 Tc 2.49
Be1 0.5000 0.5000 0.5000  2 Tc 2.41, 8 Co 2.42, 2 Be 2.54
Tc1 0.5000 0.5000 0.0000  2 Be 2.41, 8 Co 2.49, 2 Tc 2.54
Co2 0.0000 0.0000 0.7356  3 Co 2.27-2.54, 4 Be 2.42, 4 Tc 2.49

***

The following is a DFT calculation (PBEsol) of a relaxed structure of Hg5Sb.

Properties
The uncorrected energy is -0.07489 Ry per atom. Its energy relative to the elements, uncorrected is 0.2130 eV/atom. The value obtained for the distance to the lowest polymorph of the same formula is 183 meV per atom. Its crystal system is hexagonal.

abc: 5.6010 5.6010 5.6621
angles: 90.00 90.00 120.00
Closest atoms and distances in Å follow each position.
Sites, in units of the cell vectors:
Sb1 0.0000 0.0000 0.0000  6 Hg 3.23
Hg1 0.3333 0.6667 0.0000  9 Hg 3.23-3.26, 3 Sb 3.23
Hg2 0.0000 0.5000 0.5000  4 Hg 2.80
Hg3 0.6667 0.3333 0.0000  9 Hg 3.23-3.26, 3 Sb 3.23
Hg4 0.5000 0.0000 0.5000  4 Hg 2.80
Hg5 0.5000 0.5000 0.5000  4 Hg 2.80